Li2ScCl: single point on PBEsol structure, meta-GGA SCAN.

- Crystal system: cubic
- E above lowest polymorph: 565 meV per atom
- VASP energy: -6.8060 eV per atom
- Density of states at the Fermi level: 2.532 states/eV/cell

a = 4.7695 Å, b = 4.7695 Å, c = 4.7695 Å
α = 60.00°, β = 60.00°, γ = 60.00°
Closest atoms and distances in Å follow each position.
Sites, in units of the cell vectors:
Li 0.7500 0.7500 0.7500  4 Li 2.92, 4 Cl 2.92
Li 0.0000 0.0000 0.0000  4 Li 2.92, 4 Sc 2.92
Sc 0.2500 0.2500 0.2500  4 Cl 2.92, 4 Li 2.92
Cl 0.5000 0.5000 0.5000  4 Sc 2.92, 4 Li 2.92

---

Be4InTc: single point on PBEsol structure, meta-GGA SCAN.

- Crystal system: cubic
- VASP energy: -14.3141 eV per atom
- ΔH_f (0 K): -0.004 eV/atom
- Density of states at the Fermi level: 4.086 states/eV/cell

a = 4.4986 Å, b = 4.4986 Å, c = 4.4986 Å
α = 60.00°, β = 60.00°, γ = 60.00°
Closest atoms and distances in Å follow each position.
Sites, in units of the cell vectors:
Tc 0.0000 0.0000 0.0000  12 Be 2.63, 4 In 2.75
Be 0.3710 0.3710 0.8869  6 Be 2.18-2.32
Be 0.3710 0.3710 0.3710  6 Be 2.18-2.32
Be 0.3710 0.8869 0.3710  6 Be 2.18-2.32
Be 0.8869 0.3710 0.3710  6 Be 2.18-2.32
In 0.7500 0.7500 0.7500  12 Be 2.65, 4 Tc 2.75